1.
Computed, not measured: an optimized crystal structure of AcNb3P4N12 at the PBE level of DFT.

Values from the calculation:
The calculation puts the magnetization at 0.0000 μB per atom.

Lattice parameters (Å, degrees): 6.7023 6.7023 6.7023 105.56 105.56 105.56
Sites, in units of the cell vectors:
N  0.6503  0.5000  0.3497
N  0.5000  0.0870  0.9130
N  0.9694  0.2330  0.3785
N  0.6215  0.7670  0.0306
N  0.5000  0.3497  0.6503
N  0.3497  0.6503  0.5000
N  0.2330  0.3785  0.9694
N  0.7670  0.0306  0.6215
N  0.0870  0.9130  0.5000
N  0.3785  0.9694  0.2330
N  0.9130  0.5000  0.0870
N  0.0306  0.6215  0.7670
P  0.5000  0.5000  0.5000
P  0.5000  0.9389  0.0611
P  0.9389  0.0611  0.5000
P  0.0611  0.5000  0.9389
Nb  0.4429  0.0000  0.5571
Nb  0.0000  0.5571  0.4429
Nb  0.5571  0.4429  0.0000
Ac  0.0000  0.0000  0.0000


2.
Computed, not measured: an optimized crystal structure of Ac2PaNbN5 at the PBE level of DFT.

Values from the calculation:
The calculation puts the magnetization at 0.0001 μB per atom.

Lattice parameters (Å, degrees): 4.0884 4.0884 8.8686 90.00 90.00 90.00
Sites, in units of the cell vectors:
N  0.0000  0.0000  0.7664
N  0.0000  0.5000  0.5000
N  0.5000  0.0000  0.5000
N  0.0000  0.0000  0.2336
N  0.5000  0.5000  0.0000
Ac  0.5000  0.5000  0.2918
Ac  0.5000  0.5000  0.7082
Nb  0.0000  0.0000  0.5000
Pa  0.0000  0.0000  0.0000


3.
Computed, not measured: an optimized crystal structure of AcPaNbN3 at the PBE level of DFT.

Values from the calculation:
The calculation puts the magnetization at 0.0000 μB per atom.

Lattice parameters (Å, degrees): 3.4460 7.5877 8.4017 99.54 90.00 90.00
Sites, in units of the cell vectors:
N  0.7500  0.8550  0.1466
N  0.2500  0.1450  0.8534
N  0.7500  0.4301  0.1107
N  0.7500  0.1763  0.4319
N  0.2500  0.5699  0.8893
N  0.2500  0.8237  0.5681
Ac  0.7500  0.8403  0.8095
Ac  0.2500  0.1597  0.1905
Pa  0.2500  0.6477  0.1549
Pa  0.7500  0.3523  0.8451
Nb  0.7500  0.8803  0.4230
Nb  0.2500  0.1197  0.5770


4.
Computed, not measured: an optimized crystal structure of Ac2PaNb3N8 at the PBE level of DFT.

Values from the calculation:
The calculation puts the magnetization at 0.0000 μB per atom.

Lattice parameters (Å, degrees): 6.5388 6.5388 7.2274 63.10 63.10 60.00
Sites, in units of the cell vectors:
Ac  0.4900  0.4900  0.5299
Ac  0.1432  0.1432  0.5705
Nb  0.4981  0.9854  0.0183
Nb  0.9854  0.4981  0.0183
Nb  0.4981  0.4981  0.0183
N  0.2189  0.2189  0.8471
N  0.2889  0.7435  0.2242
N  0.7435  0.7435  0.2242
N  0.2189  0.7151  0.8471
N  0.2707  0.2707  0.1879
N  0.7435  0.2889  0.2242
N  0.7155  0.7155  0.8535
N  0.7151  0.2189  0.8471
Pa  0.9629  0.9629  0.1114


5.
Computed, not measured: an optimized crystal structure of AcPmNbN3 at the PBE level of DFT.

Values from the calculation:
The calculation puts the magnetization at 0.0668 μB per atom.

Lattice parameters (Å, degrees): 3.6330 8.0288 7.9489 97.03 90.00 90.00
Each line ends with the local moment (μB).
Sites, in units of the cell vectors:
N  0.2500  0.1246  0.8434  -0.01
N  0.7500  0.8754  0.1566  -0.01
N  0.2500  0.6006  0.8714  0.00
N  0.7500  0.1621  0.4865  -0.02
N  0.2500  0.8379  0.5135  -0.02
N  0.7500  0.3994  0.1286  0.00
Ac  0.7500  0.8255  0.8270  0.01
Ac  0.2500  0.1745  0.1730  0.01
Pm  0.2500  0.6155  0.1636  0.07
Pm  0.7500  0.3845  0.8364  0.07
Nb  0.7500  0.8919  0.4044  0.17
Nb  0.2500  0.1081  0.5956  0.17


6.
Computed, not measured: an optimized crystal structure of Ac3Pm2NbN6 at the PBE level of DFT.

Values from the calculation:
The calculation puts the magnetization at 0.0000 μB per atom.

Lattice parameters (Å, degrees): 6.2591 6.2591 6.3821 99.34 99.34 119.93
Sites, in units of the cell vectors:
N  0.9297  0.6337  0.7910
N  0.6337  0.9297  0.7910
N  0.3663  0.0703  0.2090
N  0.7726  0.7726  0.2198
N  0.0703  0.3663  0.2090
N  0.2274  0.2274  0.7802
Pm  0.3329  0.6671  0.0000
Pm  0.6671  0.3329  0.0000
Ac  0.8340  0.1660  0.5000
Ac  0.5000  0.5000  0.5000
Ac  0.1660  0.8340  0.5000
Nb  0.0000  0.0000  0.0000


Number 1: E_form (uncorrected) -0.4890 eV/atom, calculated volume 260 Å³/cell. Number 2: E_form (uncorrected) -1.2263 eV/atom, calculated volume 148 Å³/cell. Number 3: E_form (uncorrected) -1.0373 eV/atom, calculated volume 217 Å³/cell. Number 4: E_form (uncorrected) -1.0177 eV/atom, calculated volume 228 Å³/cell. Number 5: E_form (uncorrected) -0.9843 eV/atom, calculated volume 230 Å³/cell. Number 6: E_form (uncorrected) -1.1197 eV/atom, calculated volume 205 Å³/cell.